[1]
The following is a PBE-GGA calculation of AlOs3 after structural relaxation, from Alexandria via LeMat-Bulk.

Cell: 2.846 2.846 6.940 Å, 90.00 90.00 90.00°
Atoms (fractional coordinates):
1 Os 0.500 0.500 0.239
2 Al 0.000 0.000 0.000
3 Os 0.500 0.500 0.761
4 Os 0.000 0.000 0.500

Output
**ΔH_f (0 K)**: -53 meV/atom


[2]
The following is a PBE-GGA calculation of ZrOsPd2 after structural relaxation, from Alexandria via LeMat-Bulk.

Cell: 4.554 4.554 4.554 Å, 60.00 60.00 60.00°
Atoms (fractional coordinates):
1 Zr 0.000 0.000 0.000
2 Os 0.500 0.500 0.500
3 Pd 0.250 0.250 0.250
4 Pd 0.750 0.750 0.750

Output
**ΔH_f (0 K)**: -20 meV/atom


[3]
The following is a PBE-GGA calculation of Ca2InN after structural relaxation, from Alexandria via LeMat-Bulk.

Cell: 3.560 3.560 9.328 Å, 79.00 79.00 60.00°
Atoms (fractional coordinates):
1 Ca 0.121 0.121 0.638
2 N 0.500 0.500 0.500
3 In 0.000 0.000 0.000
4 Ca 0.879 0.879 0.362

Output
**Energy relative to the elements, uncorrected**: -2.309 eV/f.u.


Looking at total moment for the records above, in order, we have 0.00, 0.00, 0.00 μB per cell.
Looking at electronic total energy for the records above, in order, we have -9.41, -7.56, -4.34 eV per atom.